RbCuI2F: relaxed, GGA-PBE.

Lattice parameters (Å, degrees): 5.826 5.826 4.098 90.00 90.00 90.00
Fractional coordinates of all 5 atoms:
I  0.000  0.500  0.000
I  0.500  0.000  0.000
Cu  0.000  0.000  0.000
Rb  0.500  0.500  0.500
F  0.000  0.000  0.500

## Properties
- Crystal system: tetragonal
- Formation energy without anion corrections: -0.980 eV/atom

CuRhIF2: relaxed, GGA-PBE.

Lattice parameters (Å, degrees): 3.817 5.808 3.817 90.00 90.00 90.00
Fractional coordinates of all 5 atoms:
I  0.500  0.500  0.500
Rh  0.000  0.500  0.000
Cu  0.000  0.000  0.000
F  0.000  0.000  0.500
F  0.500  0.000  0.000

## Properties
- Crystal system: tetragonal
- Formation energy without anion corrections: -0.637 eV/atom

CuSbI2F: relaxed, GGA-PBE.

Lattice parameters (Å, degrees): 5.269 5.269 5.068 90.00 90.00 90.00
Fractional coordinates of all 5 atoms:
I  0.000  0.500  0.000
I  0.500  0.000  0.000
Sb  0.000  0.000  0.500
Cu  0.000  0.000  0.000
F  0.500  0.500  0.500

## Properties
- Crystal system: tetragonal
- Formation energy without anion corrections: 0.105 eV/atom
- Relative energy among the computed polymorphs: 25 meV per atom

CuSbI2F: relaxed, GGA-PBE.

Lattice parameters (Å, degrees): 5.907 5.907 4.182 90.00 90.00 90.00
Fractional coordinates of all 5 atoms:
I  0.000  0.500  0.000
I  0.500  0.000  0.000
Sb  0.000  0.000  0.500
Cu  0.500  0.500  0.500
F  0.000  0.000  0.000

## Properties
- Crystal system: tetragonal
- Formation energy without anion corrections: 0.080 eV/atom
- Relative energy among the computed polymorphs: 0 meV per atom

Cu2SiIF: relaxed, GGA-PBE.

Lattice parameters (Å, degrees): 4.450 5.444 4.450 90.00 90.00 90.00
Fractional coordinates of all 5 atoms:
I  0.000  0.500  0.000
Si  0.000  0.000  0.000
Cu  0.000  0.000  0.500
Cu  0.500  0.000  0.000
F  0.500  0.500  0.500

## Properties
- Crystal system: tetragonal
- Formation energy without anion corrections: 0.255 eV/atom

TiCu2IF: relaxed, GGA-PBE.

Lattice parameters (Å, degrees): 4.722 4.044 4.722 90.00 90.00 90.00
Fractional coordinates of all 5 atoms:
I  0.500  0.500  0.500
F  0.000  0.000  0.000
Cu  0.000  0.000  0.500
Cu  0.500  0.000  0.000
Ti  0.000  0.500  0.000

## Properties
- Crystal system: tetragonal
- Formation energy without anion corrections: 0.027 eV/atom